No. 1
## SnPd6Au2 (PBE)

Data for SnPd6Au2 after structural relaxation.

POSCAR file:
```
SnPd6Au2
1.0
4.3934 -2.0725 0.0000
4.3934 2.0725 0.0000
-2.2199 0.0000 8.1392
Sn Pd Au
1 6 2
direct
0.0000 0.0000 0.0000
0.0066 0.0066 0.3335
0.3378 0.3378 0.4448
0.3404 0.3404 0.1087
0.6596 0.6596 0.8913
0.6622 0.6622 0.5552
0.9934 0.9934 0.6665
0.3212 0.3212 0.7662
0.6788 0.6788 0.2338
```

Results
**Formation energy**: -2.09 eV/f.u.
**ΔE to the lowest computed polymorph**: 3 meV per atom

No. 2
## DyHgGe (PBE)

Data for DyHgGe after structural relaxation.

POSCAR file:
```
DyHgGe
1.0
4.4442 0.0000 0.0000
-2.2221 3.8488 0.0000
0.0000 0.0000 4.1067
Dy Hg Ge
1 1 1
direct
0.0000 0.0000 0.0000
0.6667 0.3333 0.5848
0.3333 0.6667 0.3777
```

Results
**Formation energy**: -1.37 eV/f.u.

No. 3
## PrHgPb (PBE)

Data for PrHgPb after structural relaxation.

POSCAR file:
```
PrHgPb
1.0
4.9805 0.0000 0.0000
-2.4903 4.3133 0.0000
0.0000 0.0000 4.0889
Pr Hg Pb
1 1 1
direct
0.0000 0.0000 0.0000
0.3333 0.6667 0.6588
0.6667 0.3333 0.4132
```

Results
**Formation energy**: -1.28 eV/f.u.

No. 4
## Pr5Eu3H12 (PBE)

Data for Pr5Eu3H12 after structural relaxation.

POSCAR file:
```
Pr5Eu3H12
1.0
-6.9549 6.9549 6.9549
6.9549 -6.9549 6.9549
6.9549 6.9549 -6.9549
Pr Eu H
20 12 48
direct
0.0000 0.0000 0.0000
0.0000 0.0000 0.5000
0.0000 0.5000 0.0000
0.0000 0.5000 0.5000
0.1250 0.7500 0.8750
0.1250 0.8750 0.2500
0.2500 0.1250 0.8750
0.2500 0.6250 0.3750
0.3750 0.2500 0.6250
0.3750 0.6250 0.7500
0.5000 0.0000 0.0000
0.5000 0.0000 0.5000
0.5000 0.5000 0.0000
0.5000 0.5000 0.5000
0.6250 0.3750 0.2500
0.6250 0.7500 0.3750
0.7500 0.3750 0.6250
0.7500 0.8750 0.1250
0.8750 0.1250 0.7500
0.8750 0.2500 0.1250
0.1250 0.2500 0.3750
0.1250 0.3750 0.7500
0.2500 0.3750 0.1250
0.2500 0.8750 0.6250
0.3750 0.1250 0.2500
0.3750 0.7500 0.1250
0.6250 0.2500 0.8750
0.6250 0.8750 0.7500
0.7500 0.1250 0.3750
0.7500 0.6250 0.8750
0.8750 0.6250 0.2500
0.8750 0.7500 0.6250
0.0611 0.2228 0.1516
0.0611 0.3383 0.9096
0.0713 0.7228 0.6617
0.0713 0.8484 0.4096
0.0904 0.6516 0.4287
0.0904 0.9389 0.6617
0.1516 0.0611 0.2228
0.1516 0.5904 0.9287
0.1617 0.2228 0.5713
0.1617 0.4389 0.5904
0.2228 0.1516 0.0611
0.2228 0.5713 0.1617
0.2772 0.3383 0.9287
0.2772 0.4389 0.3484
0.3383 0.9096 0.0611
0.3383 0.9287 0.2772
0.3484 0.2772 0.4389
0.3484 0.5713 0.9096
0.4096 0.0713 0.8484
0.4096 0.8383 0.5611
0.4287 0.0904 0.6516
0.4287 0.8383 0.7772
0.4389 0.3484 0.2772
0.4389 0.5904 0.1617
0.5611 0.4096 0.8383
0.5611 0.6516 0.7228
0.5713 0.1617 0.2228
0.5713 0.9096 0.3484
0.5904 0.1617 0.4389
0.5904 0.9287 0.1516
0.6516 0.4287 0.0904
0.6516 0.7228 0.5611
0.6617 0.0713 0.7228
0.6617 0.0904 0.9389
0.7228 0.5611 0.6516
0.7228 0.6617 0.0713
0.7772 0.4287 0.8383
0.7772 0.8484 0.9389
0.8383 0.5611 0.4096
0.8383 0.7772 0.4287
0.8484 0.4096 0.0713
0.8484 0.9389 0.7772
0.9096 0.0611 0.3383
0.9096 0.3484 0.5713
0.9287 0.1516 0.5904
0.9287 0.2772 0.3383
0.9389 0.6617 0.0904
0.9389 0.7772 0.8484
```

Results
**E**: -5.14 eV per atom